1.
DFT (PBE-GGA) results for crystalline TlZn2Ni at its relaxed geometry.

Cell lengths 3.033, 3.033, 7.641 Å; angles 90.00, 90.00, 90.00 degrees
Space group P4/mmm (No. 123)
Asymmetric unit:
Tl (0.000, 0.000, 0.000) x1
Zn (0.500, 0.500, 0.324) x2
Ni (0.000, 0.000, 0.500) x1

## Properties
Magnetization (Bohr magnetons per cell): 0.00
Formation enthalpy at 0 K (eV/atom): 0.06
Polymorph energy (0 for the lowest one) (eV per atom): 0.000

2.
DFT (PBE-GGA) results for crystalline TlZnNi2 at its relaxed geometry.

Cell lengths 3.075, 3.075, 6.540 Å; angles 90.00, 90.00, 90.00 degrees
Space group P4mm (No. 99)
Asymmetric unit:
Tl (0.000, 0.000, 0.000) x1
Zn (0.500, 0.500, 0.353) x1
Ni (0.000, 0.000, 0.537) x1
Ni (0.500, 0.500, 0.737) x1

## Properties
Magnetization (Bohr magnetons per cell): 0.00
Formation enthalpy at 0 K (eV/atom): 0.18
Polymorph energy (0 for the lowest one) (eV per atom): 0.078

3.
DFT (PBE-GGA) results for crystalline TlZnNi2 at its relaxed geometry.

Cell lengths 6.168, 6.168, 6.168 Å; angles 90.00, 90.00, 90.00 degrees
Space group F-43m (No. 216)
Asymmetric unit:
Tl (0.000, 0.000, 0.000) x4
Zn (0.250, 0.250, 0.250) x4
Ni (0.000, 0.000, 0.500) x4
Ni (0.250, 0.250, 0.750) x4

## Properties
Magnetization (Bohr magnetons per cell): 0.00
Formation enthalpy at 0 K (eV/atom): 0.25
Polymorph energy (0 for the lowest one) (eV per atom): 0.150